1.
Computed, not measured: a geometry-optimized LaNbIN2 structure at the PBE level of DFT.

## Properties
ΔE_f (raw), eV per atom: 1.10
Raw total energy, eV per cell: -27.72
M_tot, μB/atom: 0.66

a b c (Å): 4.363 4.363 6.449
angles (deg): 90.00 90.00 90.00
Space group P4/mmm (No. 123)
One atom of each set of equivalent atoms:
La  0.000  0.000  0.000 (multiplicity 1)
Nb  0.500  0.500  0.500 (multiplicity 1)
I  0.000  0.000  0.500 (multiplicity 1)
N  0.000  0.500  0.000 (multiplicity 2)

2.
Computed, not measured: a geometry-optimized SrZr2Tl structure at the PBE level of DFT.

## Properties
Raw total energy, eV per cell: -77.55
M_tot, μB/atom: 0.00
DFT formation energy, eV/atom: 0.44

a b c (Å): 7.428 7.428 7.428
angles (deg): 90.00 90.00 90.00
Space group Fm-3m (No. 225)
One atom of each set of equivalent atoms:
Sr  0.000  0.000  0.000 (multiplicity 4)
Zr  0.250  0.250  0.250 (multiplicity 8)
Tl  0.000  0.000  0.500 (multiplicity 4)

3.
Computed, not measured: a geometry-optimized NiC structure at the PBE level of DFT.

## Properties
Raw total energy, eV per cell: -86.27
M_tot, μB/atom: 0.36
DFT formation energy, eV/atom: 0.31

a b c (Å): 2.4514 2.4514 28.5929
angles (deg): 90.00 90.00 120.00
Space group R-3m (No. 166, hexagonal axes)
One atom of each set of equivalent atoms:
Ni  0.0000  0.0000  0.1317 (multiplicity 6)
C  0.0000  0.0000  0.3334 (multiplicity 6)

4.
Computed, not measured: a geometry-optimized Hf3MnB structure at the PBE level of DFT.

## Properties
Raw total energy, eV per cell: -40.30
M_tot, μB/atom: 0.00
DFT formation energy, eV/atom: 1.08

a b c (Å): 4.662 4.662 4.662
angles (deg): 90.00 90.00 90.00
Space group Pm-3m (No. 221)
One atom of each set of equivalent atoms:
Hf  0.000  0.000  0.500 (multiplicity 3)
Mn  0.000  0.000  0.000 (multiplicity 1)
B  0.500  0.500  0.500 (multiplicity 1)

5.
Computed, not measured: a geometry-optimized Gd12P3H5 structure at the PBE level of DFT.

## Properties
Raw total energy, eV per cell: -1706.12
M_tot, μB/atom: 4.44

a b c (Å): 15.132 15.132 15.132
angles (deg): 90.00 90.00 90.00
Space group Ia-3d (No. 230)
One atom of each set of equivalent atoms:
Gd  0.034  0.062  0.655 (multiplicity 96)
P  0.000  0.250  0.125 (multiplicity 24)
H  0.000  0.000  0.000 (multiplicity 16)
H  0.000  0.250  0.375 (multiplicity 24)

6.
Computed, not measured: a geometry-optimized TbHoSiGe structure at the PBE level of DFT.

## Properties
ΔE_f (raw), eV per atom: -0.84
Raw total energy, eV per cell: -45.21
M_tot, μB/atom: 0.00

a b c (Å): 3.902 4.286 10.627
angles (deg): 90.00 90.00 90.00
Space group Amm2 (No. 38)
One atom of each set of equivalent atoms:
Tb  0.000  0.000  0.000 (multiplicity 2)
Ho  0.500  0.000  0.278 (multiplicity 2)
Si  0.500  0.000  0.557 (multiplicity 2)
Ge  0.000  0.000  0.719 (multiplicity 2)

7.
Computed, not measured: a geometry-optimized Pd2PtAu2 structure at the PBE level of DFT.

## Properties
Raw total energy, eV per cell: -43.47
M_tot, μB/atom: 0.00
DFT formation energy, eV/atom: 0.25

a b c (Å): 7.462 7.462 3.132
angles (deg): 90.00 90.00 90.00
Space group P4/mbm (No. 127)
One atom of each set of equivalent atoms:
Pd  0.156  0.344  0.000 (multiplicity 4)
Pt  0.000  0.000  0.500 (multiplicity 2)
Au  0.143  0.643  0.500 (multiplicity 4)

8.
Computed, not measured: a geometry-optimized Zr6TlTe structure at the PBE level of DFT.

## Properties
ΔE_f (raw), eV per atom: -0.23
Raw total energy, eV per cell: -58.61
M_tot, μB/atom: 0.00

a b c (Å): 5.644 5.645 5.648
angles (deg): 90.18 90.28 90.33
Space group P-1 (No. 2)
One atom of each set of equivalent atoms:
Zr  0.002  0.001  0.248 (multiplicity 2)
Zr  0.248  0.502  0.502 (multiplicity 2)
Zr  0.497  0.252  0.000 (multiplicity 2)
Tl  0.000  0.500  0.000 (multiplicity 1)
Te  0.500  0.000  0.500 (multiplicity 1)